Below is CoP2O10 after structural relaxation, with properties calculated at the PBE+U level.

The structure in CIF format:
```
data_CoP2O10
_chemical_formula_sum 'Co2 P4 O20'
_cell_length_a 6.303
_cell_length_b 8.647
_cell_length_c 8.521
_cell_angle_alpha 90.00
_cell_angle_beta 123.82
_cell_angle_gamma 90.00
_symmetry_space_group_name_H-M 'P 1'
_symmetry_Int_Tables_number 1
_symmetry_space_group_name_Hall 'P 1'
loop_
_atom_site_label
_atom_site_type_symbol
_atom_site_fract_x
_atom_site_fract_y
_atom_site_fract_z
_atom_site_occupancy
Co1 Co 0.000 0.000 0.000 1
Co2 Co 0.000 0.500 0.500 1
P1 P 0.006 0.197 0.310 1
P2 P 0.006 0.303 0.810 1
P3 P 0.994 0.697 0.190 1
P4 P 0.994 0.803 0.690 1
O1 O 0.048 0.626 0.693 1
O2 O 0.048 0.874 0.193 1
O3 O 0.049 0.669 0.392 1
O4 O 0.049 0.831 0.892 1
O5 O 0.181 0.601 0.166 1
O6 O 0.181 0.899 0.666 1
O7 O 0.277 0.158 0.472 1
O8 O 0.277 0.342 0.972 1
O9 O 0.499 0.507 0.570 1
O10 O 0.499 0.993 0.070 1
O11 O 0.501 0.007 0.930 1
O12 O 0.501 0.493 0.430 1
O13 O 0.723 0.658 0.028 1
O14 O 0.723 0.842 0.528 1
O15 O 0.819 0.101 0.334 1
O16 O 0.819 0.399 0.834 1
O17 O 0.951 0.169 0.108 1
O18 O 0.951 0.331 0.608 1
O19 O 0.952 0.126 0.807 1
O20 O 0.952 0.374 0.307 1
```

Summary:
Size of the total moment = 10.14 Bohr magnetons per cell
DFT total energy = -6.022 eV per atom
SG = P2_1/c